Record 1
Density functional theory data (PBE) for a relaxed Cd2InHg2 crystal.

Output
DFT formation energy in eV per atom: 0.04
Symmetry: C2/c
M_tot in μB per atom: 0.00

a b c (Å): 7.9534 7.9534 5.0007
angles (deg): 107.37 107.37 107.29
Atoms (fractional coordinates):
Cd  0.1179  0.8821  0.7500
Cd  0.2512  0.7488  0.2500
Cd  0.7488  0.2512  0.7500
Cd  0.8821  0.1179  0.2500
In  0.3878  0.6122  0.7500
In  0.6122  0.3878  0.2500
Hg  0.1660  0.3198  0.9983
Hg  0.3198  0.1660  0.4983
Hg  0.6802  0.8340  0.5017
Hg  0.8340  0.6802  0.0017

Record 2
Density functional theory data (PBE) for a relaxed Li2CuGe crystal.

Output
DFT formation energy in eV per atom: -0.19
Symmetry: P4/mmm
M_tot in μB per atom: 0.00

a b c (Å): 3.6743 3.6743 4.1622
angles (deg): 90.00 90.00 90.00
Atoms (fractional coordinates):
Li  0.0000  0.5000  0.0000
Li  0.5000  0.0000  0.0000
Cu  0.0000  0.0000  0.5000
Ge  0.5000  0.5000  0.5000

M_tot of number 2 (Li2CuGe)?
0.00 μB per atom

What is the formula in the second record?
Li2CuGe

Look up the DFT formation energy of the first one.
0.04 eV per atom

DFT formation energy of number 2 (Li2CuGe)?
-0.19 eV per atom